Compound: Hf4ZrIr
Source: Alexandria via LeMat-Bulk
Functional: PBE
Structure: relaxed

The space group is P4/mmm (No. 123) and the conventional cell measures 4.484, 4.484 and 7.175 Å, with angles of 90.00, 90.00 and 90.00 degrees. Symmetry generates all atoms from Hf at (0.000, 0.500, 0.224), Zr at (0.000, 0.000, 0.500) and Ir at (0.500, 0.500, 0.000).

As for the crystal system: tetragonal. As for the raw total energy: -0.69101 Ry per atom.



Compound: HfZr3Ir2
Source: Alexandria via LeMat-Bulk
Functional: PBE
Structure: relaxed

The space group is Pmc2_1 (No. 26) and the conventional cell measures 4.526, 8.238 and 6.618 Å, with angles of 90.00, 90.00 and 90.00 degrees. Symmetry generates all atoms from Hf at (0.000, 0.075, 0.000), Zr at (0.000, 0.334, 0.645), Zr at (0.500, 0.165, 0.340), Zr at (0.500, 0.424, 0.985), Ir at (0.000, 0.336, 0.235) and Ir at (0.500, 0.160, 0.750).

Its energy above the most stable polymorph in this dataset is 0 meV per atom. As for the crystal system: orthorhombic.



Compound: HfZr3Ir2
Source: Alexandria via LeMat-Bulk
Functional: PBE
Structure: relaxed

The space group is Ibam (No. 72) and the conventional cell measures 6.538, 12.672 and 6.603 Å, with angles of 90.00, 90.00 and 90.00 degrees. Symmetry generates all atoms from Hf at (0.000, 0.000, 0.000), Zr at (0.000, 0.233, 0.250), Zr at (0.000, 0.500, 0.250) and Ir at (0.208, 0.361, 0.000).

Its energy above the most stable polymorph in this dataset is 233 meV per atom. As for the crystal system: orthorhombic.



Compound: Hf2Zr3Ir3
Source: Alexandria via LeMat-Bulk
Functional: PBE
Structure: relaxed

The space group is Immm (No. 71) and the conventional cell measures 3.493, 4.675 and 18.523 Å, with angles of 90.00, 90.00 and 90.00 degrees. Symmetry generates all atoms from Hf at (0.000, 0.000, 0.240), Zr at (0.000, 0.000, 0.000), Zr at (0.000, 0.500, 0.119), Ir at (0.000, 0.000, 0.500) and Ir at (0.000, 0.500, 0.378).

As for the crystal system: orthorhombic. As for the raw total energy: -0.70909 Ry per atom.



Compound: Hf2ZrIr
Source: Alexandria via LeMat-Bulk
Functional: PBE
Structure: relaxed

The space group is P4/mmm (No. 123) and the conventional cell measures 3.309, 3.309 and 7.310 Å, with angles of 90.00, 90.00 and 90.00 degrees. Symmetry generates all atoms from Hf at (0.000, 0.000, 0.217), Zr at (0.500, 0.500, 0.500) and Ir at (0.500, 0.500, 0.000).

Its energy above the most stable polymorph in this dataset is 8 meV per atom. As for the crystal system: tetragonal.



Compound: HfZrIr2
Source: Alexandria via LeMat-Bulk
Functional: PBE
Structure: relaxed

The space group is Pmma (No. 51) and the conventional cell measures 7.008, 3.056 and 6.650 Å, with angles of 90.00, 90.00 and 90.00 degrees. Symmetry generates all atoms from Hf at (0.250, 0.000, 0.020), Zr at (0.250, 0.000, 0.490) and Ir at (0.028, 0.500, 0.760).

As for the crystal system: orthorhombic. As for the raw total energy: -0.72904 Ry per atom.



Compound: Hf2ZrIr
Source: Alexandria via LeMat-Bulk
Functional: PBE
Structure: relaxed

The space group is R3m (No. 160, hexagonal axes) and the conventional cell measures 4.5474, 4.5474 and 15.0160 Å, with angles of 90.00, 90.00 and 120.00 degrees. Symmetry generates all atoms from Hf at (0.0000, 0.0000, 0.0000), Hf at (0.0000, 0.0000, 0.2171), Zr at (0.0000, 0.0000, 0.7816) and Ir at (0.0000, 0.0000, 0.6011).

Its energy above the most stable polymorph in this dataset is 283 meV per atom. As for the crystal system: trigonal.



Compound: Hf6Zr2Ir
Source: Alexandria via LeMat-Bulk
Functional: PBE
Structure: relaxed

The space group is C2/m (No. 12) and the conventional cell measures 15.018, 8.493 and 3.075 Å, with angles of 90.00, 90.18 and 90.00 degrees. Symmetry generates all atoms from Hf at (0.000, 0.193, 0.000), Hf at (0.160, 0.326, 0.500), Zr at (0.175, 0.000, 0.998) and Ir at (0.000, 0.500, 0.500).

As for the crystal system: monoclinic. As for the raw total energy: -0.69808 Ry per atom.



Record order is preserved below.
DOS at the Fermi energy: 6.249 4.511 6.201 7.158 3.766 3.577 3.708 10.461 states/eV/f.u.
Record order is preserved below.
Spin magnetization: 0.000 0.000 0.000 0.000 0.000 0.000 0.000 0.000 μB/cell